DFT (PBE) results for a relaxed TbNd2TlO crystal.

The space group is P4/mmm (No. 123) and the conventional cell measures 5.007, 5.007 and 4.793 Å, with angles of 90.00, 90.00 and 90.00 degrees. The inequivalent atoms are Tb at (0.000, 0.000, 0.000), Nd at (0.000, 0.500, 0.500), Tl at (0.500, 0.500, 0.000) and O at (0.000, 0.000, 0.500).

As for the total energy: -5.65 eV/atom. For the uncorrected formation energy, the calculation gives -1.349 eV per atom.